{
  "formula": "TiBe2Cu2",
  "functional": "GGA-PBE",
  "state": "relaxed",
  "delta_e_f_mev_per_atom": 77,
  "final_energy_ev_per_atom": -4.63,
  "rho_g_cm3": 5.32,
  "e_above_lowest_polymorph_ev_per_atom": 0.1609,
  "lattice": [[-1.662, 1.662, 5.446], [1.662, -1.662, 5.446], [1.662, 1.662, -5.446]],
  "species": ["Ti", "Be", "Be", "Cu", "Cu"],
  "frac_coords": [[0.000, 0.000, 0.000], [0.250, 0.750, 0.500], [0.750, 0.250, 0.500], [0.390, 0.390, 0.000], [0.610, 0.610, 0.000]]
}

---

{
  "formula": "SrAcP",
  "functional": "GGA-PBE",
  "state": "relaxed",
  "delta_e_f_mev_per_atom": -721,
  "final_energy_ev_per_atom": -4.45,
  "rho_g_cm3": 5.45,
  "e_above_lowest_polymorph_ev_per_atom": 0.1161,
  "lattice": [[-1.928, 1.928, 7.082], [1.928, -1.928, 7.082], [1.928, 1.928, -7.082]],
  "species": ["Sr", "Ac", "P"],
  "frac_coords": [[0.000, 0.000, 0.000], [0.241, 0.241, 0.000], [0.635, 0.635, 0.000]]
}

---

{
  "formula": "BaYMg2Tl",
  "functional": "GGA-PBE",
  "state": "relaxed",
  "delta_e_f_mev_per_atom": 395,
  "final_energy_ev_per_atom": -2.39,
  "rho_g_cm3": 4.18,
  "lattice": [[5.455, 0.000, 0.000], [0.000, 5.455, 0.000], [0.000, 0.000, 6.395]],
  "species": ["Ba", "Y", "Mg", "Mg", "Tl"],
  "frac_coords": [[0.000, 0.000, 0.000], [0.500, 0.500, 0.000], [0.000, 0.500, 0.500], [0.500, 0.000, 0.500], [0.000, 0.000, 0.500]]
}

---

{
  "formula": "Mg8Ga3Sn2",
  "functional": "GGA-PBE",
  "state": "relaxed",
  "delta_e_f_mev_per_atom": -118,
  "final_energy_ev_per_atom": -2.41,
  "rho_g_cm3": 3.48,
  "e_above_lowest_polymorph_ev_per_atom": 0.0000,
  "lattice": [[4.715, -6.923, 0.000], [4.715, 6.923, 0.000], [0.000, 0.000, 4.680]],
  "species": ["Mg", "Mg", "Mg", "Mg", "Mg", "Mg", "Mg", "Mg", "Ga", "Ga", "Ga", "Sn", "Sn"],
  "frac_coords": [[0.116, 0.884, 0.000], [0.125, 0.370, 0.500], [0.370, 0.125, 0.500], [0.372, 0.628, 0.000], [0.628, 0.372, 0.000], [0.630, 0.875, 0.500], [0.875, 0.630, 0.500], [0.884, 0.116, 0.000], [0.254, 0.254, 0.000], [0.500, 0.500, 0.500], [0.746, 0.746, 0.000], [0.246, 0.754, 0.500], [0.754, 0.246, 0.500]]
}

---

{
  "formula": "V3Mo2W2",
  "functional": "GGA-PBE",
  "state": "relaxed",
  "delta_e_f_mev_per_atom": -87,
  "final_energy_ev_per_atom": -10.79,
  "rho_g_cm3": 11.31,
  "e_above_lowest_polymorph_ev_per_atom": 0.0000,
  "lattice": [[2.732, 0.000, 0.000], [-0.919, 6.626, 0.000], [-0.878, -3.261, 5.776]],
  "species": ["V", "V", "V", "Mo", "Mo", "W", "W"],
  "frac_coords": [[0.000, 0.000, 0.000], [0.429, 0.714, 0.572], [0.571, 0.286, 0.428], [0.284, 0.139, 0.714], [0.716, 0.861, 0.286], [0.144, 0.573, 0.852], [0.856, 0.427, 0.148]]
}

---

{
  "formula": "TaVCr2",
  "functional": "GGA-PBE",
  "state": "relaxed",
  "delta_e_f_mev_per_atom": -27,
  "final_energy_ev_per_atom": -10.08,
  "rho_g_cm3": 10.19,
  "e_above_lowest_polymorph_ev_per_atom": 0.0012,
  "lattice": [[0.000, 3.014, 3.014], [3.014, 0.000, 3.014], [3.014, 3.014, 0.000]],
  "species": ["Ta", "V", "Cr", "Cr"],
  "frac_coords": [[0.000, 0.000, 0.000], [0.500, 0.500, 0.500], [0.250, 0.250, 0.250], [0.750, 0.750, 0.750]]
}

---

Number 5 is which compound?
V3Mo2W2